Here is an optimized crystal structure of K4Pu3USe8 from Alexandria. Energies are from PBE.

Properties
The raw formation energy is -1.4297 eV/atom. The calculated total energy comes out at -0.5027 Ry/atom. For the density of states at the Fermi level, the calculation gives 38.647 states/eV per cell.

a = 8.5534 Å, b = 9.1026 Å, c = 8.5532 Å
α = 118.02°, β = 120.00°, γ = 90.00°
With the nearest neighbours (Å) after each atom.
Sites, in units of the cell vectors:
Se1 0.7351 0.7054 0.4703  3 Pu 2.93
Se2 0.7682 0.2950 0.0268  1 U 2.88, 2 Pu 2.94
Se3 0.7414 0.7050 0.9732  1 U 2.88, 2 Pu 2.94
Se4 0.2586 0.2950 0.0268  1 U 2.88, 2 Pu 2.94
Se5 0.2649 0.2946 0.5297  3 Pu 2.93
Se6 0.2318 0.7050 0.4636  1 U 2.88, 2 Pu 2.94
Se7 0.2318 0.7050 0.9732  1 U 2.88, 2 Pu 2.94
Se8 0.7682 0.2950 0.5364  1 U 2.88, 2 Pu 2.94
K1 0.0000 0.0000 0.0000  6 Se 3.33-3.34
K2 0.5000 0.0000 0.5000  6 Se 3.33-3.34
K3 0.0000 0.0000 0.5000  6 Se 3.33-3.34
K4 0.5000 0.0000 0.0000  6 Se 3.38
Pu1 0.5000 0.5000 0.0000  6 Se 2.93-2.94
Pu2 0.5000 0.5000 0.5000  6 Se 2.93-2.94
Pu3 0.0000 0.5000 0.5000  6 Se 2.93-2.94
U1 0.0000 0.5000 0.0000  6 Se 2.88